Ce3HoB2N6 | PBE | relaxed

Cell and atoms, written as POSCAR:
```
Ce3HoB2N6
1.0
-0.540 -3.723 -4.130
-3.210 -0.396 4.556
-4.343 3.671 -2.741
Ce N B Ho
3 6 2 1
Cartesian
-5.211 0.939 -0.164
-2.882 -1.387 -2.151
0.000 0.000 0.000
-4.204 -0.430 -4.541
-4.133 -1.693 0.367
-2.445 0.160 0.175
-3.961 1.245 -2.682
-3.890 -0.018 2.225
-5.648 -0.609 -2.491
-3.380 -0.610 0.992
-4.714 0.161 -3.307
-2.172 1.836 -1.370
```

Calculated values
energy relative to the elements, uncorrected = -1176.6 meV/atom
symmetry = P-3m1
D(E_F) = 16.940 states/eV/f.u.

Na3Zn3IO8 | PBE | relaxed

Cell and atoms, written as POSCAR:
```
Na3Zn3IO8
1.0
-3.311 -5.066 1.929
6.349 -0.208 -0.106
-2.982 3.693 4.578
Zn O Na I
3 8 3 1
Cartesian
-3.147 -0.687 3.253
0.028 -0.790 3.201
1.683 1.743 2.236
-1.560 0.000 1.782
3.515 1.325 3.513
-0.128 1.444 3.573
0.183 -3.025 2.828
-1.557 -1.283 4.415
1.615 -1.581 4.620
-3.460 -2.906 2.889
1.612 -0.298 1.986
3.175 -0.104 -0.053
1.519 -2.637 0.912
0.000 0.000 0.000
-1.491 1.846 2.289
```

Calculated values
energy relative to the elements, uncorrected = -1199.8 meV/atom
symmetry = R-3m

IrPdBr2 | PBE | relaxed

Cell and atoms, written as POSCAR:
```
IrPdBr2
1.0
6.984 0.000 0.000
0.000 6.984 0.000
3.492 3.492 3.344
Br Pd Ir
4 2 2
Cartesian
8.731 8.904 2.508
5.238 5.065 2.508
5.412 1.746 0.836
1.573 5.238 0.836
3.492 3.492 0.000
3.492 6.984 1.672
6.984 3.492 1.672
0.000 0.000 0.000
```

Calculated values
energy relative to the elements, uncorrected = 648.5 meV/atom
symmetry = I-42d
D(E_F) = 3.450 states/eV/f.u.

PrSm6Er12 | PBE | relaxed

Cell and atoms, written as POSCAR:
```
PrSm6Er12
1.0
-2.163 7.056 -4.425
-6.820 -2.948 -4.341
-6.372 3.008 4.939
Sm Er Pr
6 12 1
Cartesian
-10.511 1.209 -0.269
-4.845 5.908 -3.558
-7.392 3.459 2.107
-7.662 -0.145 -3.508
-7.964 3.658 -5.934
-7.693 7.261 -0.319
-7.231 1.418 -0.561
-12.502 3.716 -1.781
-4.453 -0.034 -2.016
-9.469 4.406 -0.275
-9.612 2.504 -3.239
-4.299 2.011 1.170
-8.124 5.699 -3.266
-2.854 3.401 -2.045
-5.744 4.613 -0.588
-10.903 7.151 -1.810
-11.057 5.106 -4.996
-5.887 2.711 -3.552
0.000 0.000 0.000
```

Calculated values
symmetry = R-3m
calculated formation energy = 11.1 kJ/mol of atoms
D(E_F) = 30.236 states/eV/f.u.

Y2ZrRe | PBE | relaxed

Cell and atoms, written as POSCAR:
```
Y2ZrRe
1.0
3.076 0.000 0.000
0.000 4.914 0.000
0.000 0.000 6.048
Y Re Zr
2 1 1
Cartesian
0.000 0.000 5.947
0.000 0.000 3.125
1.538 2.457 4.536
1.538 2.457 1.512
```

Calculated values
symmetry = Pmmm
calculated formation energy = 37.0 kJ/mol of atoms
D(E_F) = 4.130 states/eV/f.u.

CdHgAs2 | PBE | relaxed

Cell and atoms, written as POSCAR:
```
CdHgAs2
1.0
-5.267 5.431 -4.252
1.057 -6.346 0.424
-1.442 -1.390 1.975
As Hg Cd
2 1 1
Cartesian
-3.354 2.021 -1.139
0.000 0.000 0.000
-2.105 -0.458 -1.914
-0.192 -3.868 1.199
```

Calculated values
symmetry = C2/m
calculated formation energy = 17.6 kJ/mol of atoms
D(E_F) = 1.960 states/eV/f.u.

CaAgPS2 | PBE | relaxed

Cell and atoms, written as POSCAR:
```
CaAgPS2
1.0
4.995 0.000 0.000
0.000 4.995 0.000
0.000 0.000 4.657
Ag S Ca P
1 2 1 1
Cartesian
0.000 0.000 0.000
2.497 0.000 0.000
0.000 2.497 0.000
2.497 2.497 2.329
0.000 0.000 2.329
```

Calculated values
energy relative to the elements, uncorrected = -5.8 meV/atom
symmetry = P4/mmm
D(E_F) = 3.312 states/eV/f.u.

La6PrDy2Tm | PBE | relaxed

Cell and atoms, written as POSCAR:
```
La6PrDy2Tm
1.0
-4.891 7.537 -0.350
-4.374 -2.599 5.138
6.167 2.376 1.364
Pr La Tm Dy
1 6 1 2
Cartesian
-2.187 -1.300 2.569
-3.236 2.250 3.472
0.349 1.497 3.884
2.781 2.943 1.027
-5.879 4.371 5.125
-3.446 5.817 2.268
0.138 5.064 2.680
-2.445 3.769 -0.175
-0.109 1.460 0.645
-2.988 5.855 5.507
```

Calculated values
symmetry = C2/m
calculated formation energy = 17.9 kJ/mol of atoms
D(E_F) = 19.226 states/eV/f.u.

Pr6AgAu | PBE | relaxed

Cell and atoms, written as POSCAR:
```
Pr6AgAu
1.0
-2.657 2.657 8.906
2.657 -2.657 8.906
2.657 2.657 -8.906
Pr Ag Au
6 1 1
Cartesian
0.000 0.000 4.435
0.000 2.657 1.871
0.000 0.000 13.376
0.000 2.657 7.035
2.657 0.000 1.871
2.657 0.000 7.035
0.000 0.000 0.000
0.000 0.000 8.906
```

Calculated values
symmetry = I4/mmm
calculated formation energy = -21.8 kJ/mol of atoms
D(E_F) = 12.501 states/eV/f.u.

HoPuS2 | PBE | relaxed

Cell and atoms, written as POSCAR:
```
HoPuS2
1.0
-0.090 3.743 -0.708
0.000 1.260 -3.596
-6.926 1.491 -1.496
Pu S Ho
1 2 1
Cartesian
-6.883 4.828 -4.364
-5.195 1.535 -1.480
-1.773 1.623 -1.450
-3.599 3.244 -2.900
```

Calculated values
energy relative to the elements, uncorrected = -1786.6 meV/atom
symmetry = R3m
D(E_F) = 5.788 states/eV/f.u.

Ba2Na2In | PBE | relaxed

Cell and atoms, written as POSCAR:
```
Ba2Na2In
1.0
9.619 0.000 0.000
0.000 9.619 0.000
0.000 0.000 5.357
Ba In Na
4 2 4
Cartesian
6.378 1.569 0.000
3.240 8.050 0.000
8.050 6.378 0.000
1.569 3.240 0.000
0.000 0.000 0.000
4.809 4.809 0.000
3.477 1.332 2.679
1.332 6.141 2.679
8.287 3.477 2.679
6.141 8.287 2.679
```

Calculated values
symmetry = P4/mbm
calculated formation energy = 8.7 kJ/mol of atoms
D(E_F) = 5.078 states/eV/f.u.

SbICl | PBE | relaxed

Cell and atoms, written as POSCAR:
```
SbICl
1.0
3.697 0.035 0.047
1.707 7.766 -0.626
1.769 -1.050 8.807
I Cl Sb
2 2 2
Cartesian
5.352 4.610 7.626
1.821 2.141 0.602
5.391 5.503 3.867
1.782 1.248 4.361
1.819 -0.044 2.308
5.354 6.795 5.920
```

Calculated values
energy relative to the elements, uncorrected = -377.5 meV/atom
symmetry = P-1
D(E_F) = 0.313 states/eV/f.u.